LiFePO4 PBE+U optimized geometry; distance to the lowest polymorph of the same formula = 45 meV per atom; Fermi-level density of states = 0.0 states/eV/cell
1.0
-2.390 1.545 4.429
-3.130 -7.137 -0.472
6.803 0.322 6.199
O Li P Fe
16 4 4 4
Direct
0.958 0.796 0.998
0.042 0.204 0.502
0.342 0.917 0.635
0.376 0.621 0.392
0.624 0.379 0.608
0.658 0.083 0.865
0.089 0.624 0.155
0.958 0.796 0.498
0.911 0.376 0.345
0.376 0.621 0.892
0.658 0.083 0.365
0.042 0.204 0.002
0.911 0.376 0.845
0.342 0.917 0.135
0.089 0.624 0.655
0.624 0.379 0.108
0.716 0.991 0.129
0.284 0.009 0.371
0.716 0.991 0.629
0.284 0.009 0.871
0.808 0.258 0.953
0.192 0.742 0.047
0.192 0.742 0.547
0.808 0.258 0.453
0.235 0.395 0.675
0.765 0.605 0.325
0.235 0.395 0.175
0.765 0.605 0.825